Record 1
A plane-wave DFT calculation with PBE was carried out for a relaxed structure of Be2NbCl.

```
8
Lattice="-3.2950 3.2950 2.5097 3.2950 -3.2950 2.5097 3.2950 3.2950 -2.5097" Properties=species:S:1:pos:R:3 pbc="T T T"
Be 1.6475 1.4285 -0.6274
Be 1.8665 -1.6475 3.1371
Be 1.6475 1.8665 1.8822
Be 1.4285 4.9425 0.6274
Nb 3.2950 0.0000 1.2548
Nb 0.0000 0.0000 2.5097
Cl 0.0000 0.0000 0.0000
Cl 0.0000 3.2950 1.2548
```

Results
Symmetry = I-42d (122)
Formation energy without anion corrections = 0.594 eV per atom

Record 2
A plane-wave DFT calculation with PBE was carried out for a relaxed structure of Sb2OsW.

```
4
Lattice="0.0000 3.2956 3.2956 3.2956 0.0000 3.2956 3.2956 3.2956 0.0000" Properties=species:S:1:pos:R:3 pbc="T T T"
Sb 1.6478 1.6478 1.6478
Sb 4.9434 4.9434 4.9434
Os 0.0000 0.0000 0.0000
W 3.2956 3.2956 3.2956
```

Results
Symmetry = Fm-3m (225)
Formation energy without anion corrections = 0.596 eV per atom

Record 3
A plane-wave DFT calculation with PBE was carried out for a relaxed structure of CaTaTc.

```
3
Lattice="3.2754 0.0000 0.0000 -1.6377 2.8366 0.0000 0.0000 0.0000 7.0754" Properties=species:S:1:pos:R:3 pbc="T T T"
Ca 0.0000 0.0000 0.0000
Ta 1.6377 0.9455 2.9266
Tc 0.0000 1.8911 4.5876
```

Results
Symmetry = P3m1 (156)

Number 1: total DFT energy (no corrections) -33.98 eV/cell. Number 2: total DFT energy (no corrections) -30.05 eV/cell. Number 3: total DFT energy (no corrections) -22.90 eV/cell.